Entry 1:
RbIn2AgCl8, relaxed, DFT PBE; uncorrected formation energy = -1307.0 kJ/mol of formula units; raw total energy = -37.6 eV for the cell shown; magnetic moment = 0.0 μB/cell
1.0
-0.691 4.824 -4.644
-3.580 -1.184 -5.577
-9.355 4.339 1.021
Cl In Rb Ag
8 2 1 1
direct
0.387 0.711 0.830 Cl
0.289 0.928 0.170 Cl
0.613 0.289 0.170 Cl
0.928 0.613 0.170 Cl
0.171 0.171 0.488 Cl
0.072 0.387 0.830 Cl
0.711 0.072 0.830 Cl
0.829 0.829 0.512 Cl
0.254 0.254 0.239 In
0.746 0.746 0.761 In
0.500 0.500 0.500 Rb
0.000 0.000 0.000 Ag

Entry 2:
BaCaI, relaxed, DFT PBE; uncorrected formation energy = -240.7 kJ/mol of formula units; energy above the lowest structure with this stoichiometry = 0.0 meV per atom; raw total energy = -15.9 eV for the cell shown; magnetic moment = 1.6 μB/cell
1.0
4.797 0.000 0.000
0.000 4.797 0.000
0.000 0.000 11.800
Ca I Ba
2 2 2
direct
0.500 0.000 0.071 Ca
0.000 0.500 0.929 Ca
0.000 0.500 0.614 I
0.500 0.000 0.386 I
0.000 0.500 0.293 Ba
0.500 0.000 0.707 Ba